Compound: MnV3O
Source: Alexandria via LeMat-Bulk
Functional: PBE with a Hubbard U
Structure: relaxed

Output
The raw total energy is -5.076 eV per atom. The calculation puts the excess energy over the best structure of this formula in the dataset at 1426 meV/atom.

```
MnV3O
1.0
4.705 0.000 0.000
0.000 4.705 0.000
0.000 0.000 4.705
Mn V O
1 3 1
direct
0.000 0.000 0.000
0.000 0.000 0.500
0.000 0.500 0.000
0.500 0.000 0.000
0.500 0.500 0.500
```